(1)
Zr2NpCu after structural relaxation, computed with PBE-GGA.

Cell and atoms, written as CIF:
```
data_Zr2NpCu
_chemical_formula_sum 'Zr2 Np1 Cu1'
_symmetry_space_group_name_H-M 'P 4/m m m'
_symmetry_Int_Tables_number 123
_symmetry_space_group_name_Hall '-P 4 2'
_cell_length_a 3.166
_cell_length_b 3.166
_cell_length_c 8.151
_cell_angle_alpha 90.00
_cell_angle_beta 90.00
_cell_angle_gamma 90.00
loop_
_atom_site_label
_atom_site_fract_x
_atom_site_fract_y
_atom_site_fract_z
Zr1 0.000 0.000 0.216
Np1 0.500 0.500 0.500
Cu1 0.500 0.500 0.000
```

Calculated values
- Energy: -33.61 eV per cell
- Crystal system: tetragonal
- Magnetic moment: 3.53 μB per cell
- DFT formation energy: 12.6 kJ per mole of atoms
- V: 20.42 Å³/atom

---

(2)
La3SnAs after structural relaxation, computed with PBE-GGA.

Cell and atoms, written as CIF:
```
data_La3SnAs
_chemical_formula_sum 'La3 Sn1 As1'
_symmetry_space_group_name_H-M 'P m -3 m'
_symmetry_Int_Tables_number 221
_symmetry_space_group_name_Hall '-P 4 2 3'
_cell_length_a 5.670
_cell_length_b 5.670
_cell_length_c 5.670
_cell_angle_alpha 90.00
_cell_angle_beta 90.00
_cell_angle_gamma 90.00
loop_
_atom_site_label
_atom_site_fract_x
_atom_site_fract_y
_atom_site_fract_z
La1 0.000 0.000 0.500
Sn1 0.500 0.500 0.500
As1 0.000 0.000 0.000
```

Calculated values
- Energy: -26.85 eV per cell
- Crystal system: cubic
- Magnetic moment: 0.00 μB per cell
- DFT formation energy: -66.0 kJ per mole of atoms
- V: 36.45 Å³/atom

---

(3)
Cs3Tl5Te12 after structural relaxation, computed with PBE-GGA.

Cell and atoms, written as CIF:
```
data_Cs3Tl5Te12
_chemical_formula_sum 'Cs24 Tl40 Te96'
_symmetry_space_group_name_H-M 'I a -3 d'
_symmetry_Int_Tables_number 230
_symmetry_space_group_name_Hall '-I 4bd 2c 3'
_cell_length_a 20.147
_cell_length_b 20.147
_cell_length_c 20.147
_cell_angle_alpha 90.00
_cell_angle_beta 90.00
_cell_angle_gamma 90.00
loop_
_atom_site_label
_atom_site_fract_x
_atom_site_fract_y
_atom_site_fract_z
Cs1 0.000 0.250 0.125
Tl1 0.000 0.000 0.000
Tl2 0.000 0.250 0.375
Te1 0.074 0.079 0.626
```

Calculated values
- Energy: -460.11 eV per cell
- Crystal system: cubic
- E_form (uncorrected): -0.271 eV/atom
- Magnetic moment: 0.00 μB per cell
- V: 51.11 Å³/atom

---

(4)
CuSbOs2 after structural relaxation, computed with PBE-GGA.

Cell and atoms, written as CIF:
```
data_CuSbOs2
_chemical_formula_sum 'Cu4 Sb4 Os8'
_symmetry_space_group_name_H-M 'F -4 3 m'
_symmetry_Int_Tables_number 216
_symmetry_space_group_name_Hall 'F -4 2 3'
_cell_length_a 6.316
_cell_length_b 6.316
_cell_length_c 6.316
_cell_angle_alpha 90.00
_cell_angle_beta 90.00
_cell_angle_gamma 90.00
loop_
_atom_site_label
_atom_site_fract_x
_atom_site_fract_y
_atom_site_fract_z
Cu1 0.000 0.000 0.000
Sb1 0.250 0.250 0.750
Os1 0.000 0.000 0.500
Os2 0.250 0.250 0.250
```

Calculated values
- Energy: -111.57 eV per cell
- Crystal system: cubic
- E_form (uncorrected): 0.696 eV/atom
- Magnetic moment: 0.00 μB per cell
- V: 15.74 Å³/atom

---

(5)
FeTcHg2 after structural relaxation, computed with PBE-GGA.

Cell and atoms, written as CIF:
```
data_FeTcHg2
_chemical_formula_sum 'Fe4 Tc4 Hg8'
_symmetry_space_group_name_H-M 'F m -3 m'
_symmetry_Int_Tables_number 225
_symmetry_space_group_name_Hall '-F 4 2 3'
_cell_length_a 6.430
_cell_length_b 6.430
_cell_length_c 6.430
_cell_angle_alpha 90.00
_cell_angle_beta 90.00
_cell_angle_gamma 90.00
loop_
_atom_site_label
_atom_site_fract_x
_atom_site_fract_y
_atom_site_fract_z
Fe1 0.000 0.000 0.000
Tc1 0.000 0.000 0.500
Hg1 0.250 0.250 0.250
```

Calculated values
- Energy: -62.90 eV per cell
- Crystal system: cubic
- Magnetic moment: 0.00 μB per cell
- DFT formation energy: 89.4 kJ per mole of atoms
- V: 16.61 Å³/atom

---

(6)
Np4As7Pd5 after structural relaxation, computed with PBE-GGA.

Cell and atoms, written as CIF:
```
data_Np4As7Pd5
_chemical_formula_sum 'Np8 As14 Pd10'
_symmetry_space_group_name_H-M 'I -4 2 m'
_symmetry_Int_Tables_number 121
_symmetry_space_group_name_Hall 'I -4 2'
_cell_length_a 5.601
_cell_length_b 5.601
_cell_length_c 19.414
_cell_angle_alpha 90.00
_cell_angle_beta 90.00
_cell_angle_gamma 90.00
loop_
_atom_site_label
_atom_site_fract_x
_atom_site_fract_y
_atom_site_fract_z
Np1 0.249 0.249 0.117
As1 0.000 0.000 0.000
As2 0.000 0.500 0.000
As3 0.249 0.249 0.343
Pd1 0.000 0.000 0.250
Pd2 0.000 0.000 0.500
Pd3 0.000 0.500 0.250
```

Calculated values
- Energy: -237.85 eV per cell
- Crystal system: tetragonal
- Magnetic moment: 25.35 μB per cell
- DFT formation energy: -52.2 kJ per mole of atoms
- V: 19.03 Å³/atom

---

(7)
Tb3Pr7Er2 after structural relaxation, computed with PBE-GGA.

Cell and atoms, written as CIF:
```
data_Tb3Pr7Er2
_chemical_formula_sum 'Tb6 Pr14 Er4'
_symmetry_space_group_name_H-M 'C m m m'
_symmetry_Int_Tables_number 65
_symmetry_space_group_name_Hall '-C 2 2'
_cell_length_a 5.546
_cell_length_b 32.442
_cell_length_c 4.761
_cell_angle_alpha 90.00
_cell_angle_beta 90.00
_cell_angle_gamma 90.00
loop_
_atom_site_label
_atom_site_fract_x
_atom_site_fract_y
_atom_site_fract_z
Tb1 0.000 0.000 0.000
Tb2 0.000 0.159 0.000
Pr1 0.000 0.084 0.500
Pr2 0.000 0.235 0.500
Pr3 0.000 0.420 0.000
Pr4 0.000 0.500 0.500
Er1 0.000 0.341 0.500
```

Calculated values
- Energy: -106.78 eV per cell
- Crystal system: orthorhombic
- Magnetic moment: 0.00 μB per cell
- DFT formation energy: 24.8 kJ per mole of atoms
- V: 35.69 Å³/atom

---

(8)
BeZnFe after structural relaxation, computed with PBE-GGA.

Cell and atoms, written as CIF:
```
data_BeZnFe
_chemical_formula_sum 'Be4 Zn4 Fe4'
_symmetry_space_group_name_H-M 'C 1 2/m 1'
_symmetry_Int_Tables_number 12
_cell_length_a 8.503
_cell_length_b 3.287
_cell_length_c 5.091
_cell_angle_alpha 90.00
_cell_angle_beta 109.30
_cell_angle_gamma 90.00
loop_
_symmetry_equiv_pos_as_xyz
'x,y,z'
'-x,-y,-z'
'-x,y,-z'
'x,-y,z'
'x+1/2,y+1/2,z'
'-x+1/2,-y+1/2,-z'
'-x+1/2,y+1/2,-z'
'x+1/2,-y+1/2,z'
loop_
_atom_site_label
_atom_site_fract_x
_atom_site_fract_y
_atom_site_fract_z
Be1 0.181 0.000 0.342
Zn1 0.000 0.500 0.000
Zn2 0.000 0.500 0.500
Fe1 0.175 0.000 0.837
```

Calculated values
- Energy: -53.39 eV per cell
- Crystal system: monoclinic
- Magnetic moment: 7.39 μB per cell
- DFT formation energy: 3.7 kJ per mole of atoms
- V: 11.19 Å³/atom

---

(9)
Ca4CdBi after structural relaxation, computed with PBE-GGA.

Cell and atoms, written as CIF:
```
data_Ca4CdBi
_chemical_formula_sum 'Ca16 Cd4 Bi4'
_symmetry_space_group_name_H-M 'C 1 2/c 1'
_symmetry_Int_Tables_number 15
_cell_length_a 10.113
_cell_length_b 14.370
_cell_length_c 6.841
_cell_angle_alpha 90.00
_cell_angle_beta 121.45
_cell_angle_gamma 90.00
loop_
_symmetry_equiv_pos_as_xyz
'x,y,z'
'-x,-y,-z'
'-x,y,-z+1/2'
'x,-y,z+1/2'
'x+1/2,y+1/2,z'
'-x+1/2,-y+1/2,-z'
'-x+1/2,y+1/2,-z+1/2'
'x+1/2,-y+1/2,z+1/2'
loop_
_atom_site_label
_atom_site_fract_x
_atom_site_fract_y
_atom_site_fract_z
Ca1 0.126 0.180 0.102
Ca2 0.199 0.438 0.281
Cd1 0.000 0.001 0.250
Bi1 0.000 0.363 0.750
```

Calculated values
- Energy: -61.43 eV per cell
- Crystal system: monoclinic
- Magnetic moment: 0.00 μB per cell
- DFT formation energy: -41.1 kJ per mole of atoms
- V: 35.34 Å³/atom

---

(10)
TaReIr after structural relaxation, computed with PBE-GGA.

Cell and atoms, written as CIF:
```
data_TaReIr
_chemical_formula_sum 'Ta4 Re4 Ir4'
_symmetry_space_group_name_H-M 'F -4 3 m'
_symmetry_Int_Tables_number 216
_symmetry_space_group_name_Hall 'F -4 2 3'
_cell_length_a 6.075
_cell_length_b 6.075
_cell_length_c 6.075
_cell_angle_alpha 90.00
_cell_angle_beta 90.00
_cell_angle_gamma 90.00
loop_
_atom_site_label
_atom_site_fract_x
_atom_site_fract_y
_atom_site_fract_z
Ta1 0.000 0.000 0.000
Re1 0.000 0.000 0.500
Ir1 0.250 0.250 0.750
```

Calculated values
- Energy: -128.14 eV per cell
- Crystal system: cubic
- Magnetic moment: 0.00 μB per cell
- DFT formation energy: 36.2 kJ per mole of atoms
- V: 18.68 Å³/atom

---

(11)
RbGeB3 after structural relaxation, computed with PBE-GGA.

Cell and atoms, written as CIF:
```
data_RbGeB3
_chemical_formula_sum 'Rb1 Ge1 B3'
_symmetry_space_group_name_H-M 'P m -3 m'
_symmetry_Int_Tables_number 221
_symmetry_space_group_name_Hall '-P 4 2 3'
_cell_length_a 4.440
_cell_length_b 4.440
_cell_length_c 4.440
_cell_angle_alpha 90.00
_cell_angle_beta 90.00
_cell_angle_gamma 90.00
loop_
_atom_site_label
_atom_site_fract_x
_atom_site_fract_y
_atom_site_fract_z
Rb1 0.000 0.000 0.000
Ge1 0.500 0.500 0.500
B1 0.000 0.500 0.500
```

Calculated values
- Energy: -16.43 eV per cell
- Crystal system: cubic
- Magnetic moment: 0.00 μB per cell
- DFT formation energy: 177.4 kJ per mole of atoms
- V: 17.50 Å³/atom

---

(12)
CaTlSe after structural relaxation, computed with PBE-GGA.

Cell and atoms, written as CIF:
```
data_CaTlSe
_chemical_formula_sum 'Ca6 Tl6 Se6'
_symmetry_space_group_name_H-M 'R -3 m'
_symmetry_Int_Tables_number 166
_symmetry_space_group_name_Hall '-R 3 2"'
_cell_length_a 5.0923
_cell_length_b 5.0923
_cell_length_c 25.7290
_cell_angle_alpha 90.00
_cell_angle_beta 90.00
_cell_angle_gamma 120.00
loop_
_atom_site_label
_atom_site_fract_x
_atom_site_fract_y
_atom_site_fract_z
Ca1 0.0000 0.0000 0.1077
Tl1 0.0000 0.0000 0.3426
Se1 0.0000 0.0000 0.2209
```

Calculated values
- Energy: -65.60 eV per cell
- Crystal system: trigonal
- E_form (uncorrected): -1.027 eV/atom
- Magnetic moment: 0.00 μB per cell
- V: 32.10 Å³/atom